Material: Ac2UAl3O12
Method: DFT, PBE-GGA
State: optimized geometry

Lattice parameters (Å, degrees): 6.688 6.688 6.688 61.34 61.34 61.34
Element x y z (fractional)
Ac  0.107  0.107  0.107
Ac  0.893  0.893  0.893
U  0.500  0.500  0.500
Al  0.000  0.500  0.500
Al  0.500  0.000  0.500
Al  0.500  0.500  0.000
O  0.099  0.637  0.637
O  0.225  0.225  0.620
O  0.225  0.620  0.225
O  0.363  0.363  0.901
O  0.363  0.901  0.363
O  0.380  0.775  0.775
O  0.620  0.225  0.225
O  0.637  0.099  0.637
O  0.637  0.637  0.099
O  0.775  0.380  0.775
O  0.775  0.775  0.380
O  0.901  0.363  0.363

Output
- total magnetization (μB per cell) = 3.1
- calculated volume (Å³/atom) = 12.10
- formation energy (no corrections) (meV/atom) = -2599
- total energy (eV for the cell shown) = -137.02